No. 1
GaBr | PBE | relaxed

Calculated values
Magnetic moment   0.000 Bohr magnetons per cell
Formation energy from raw total energies   -497 meV/atom
Crystal system   hexagonal

Geometry as CIF:
```
data_GaBr
_chemical_formula_sum 'Ga6 Br6'
_space_group_name_H-M_alt 'P 63/m'
_space_group_IT_number 176
_space_group_name_Hall '-P 6c'
_cell_length_a 9.1584
_cell_length_b 9.1584
_cell_length_c 6.2856
_cell_angle_alpha 90.00
_cell_angle_beta 90.00
_cell_angle_gamma 120.00
loop_
_atom_site_label
_atom_site_type_symbol
_atom_site_fract_x
_atom_site_fract_y
_atom_site_fract_z
_atom_site_occupancy
Ga1 Ga 0.0239 0.6711 0.2500 1
Br1 Br 0.0565 0.6876 0.7500 1
```



No. 2
Y5Pt4 | PBE | relaxed

Calculated values
Excess energy over the best structure of this formula in the dataset   102 meV per atom
Magnetic moment   0.000 Bohr magnetons per cell
Calculated formation energy   -1.05 eV/atom
Crystal system   hexagonal

Geometry as CIF:
```
data_Y5Pt4
_chemical_formula_sum 'Y10 Pt8'
_space_group_name_H-M_alt 'P 63/m c m'
_space_group_IT_number 193
_space_group_name_Hall '-P 6c 2'
_cell_length_a 8.6607
_cell_length_b 8.6607
_cell_length_c 6.4250
_cell_angle_alpha 90.00
_cell_angle_beta 90.00
_cell_angle_gamma 120.00
loop_
_atom_site_label
_atom_site_type_symbol
_atom_site_fract_x
_atom_site_fract_y
_atom_site_fract_z
_atom_site_occupancy
Y1 Y 0.0000 0.2693 0.2500 1
Y2 Y 0.3333 0.6667 0.0000 1
Pt1 Pt 0.0000 0.0000 0.0000 1
Pt2 Pt 0.0000 0.3975 0.7500 1
```